(a)
Density functional theory data (PBE) for an optimized crystal structure of Tb4HgRh.

a = 9.6158 Å, b = 9.6158 Å, c = 9.6158 Å
α = 60.00°, β = 60.00°, γ = 60.00°
Fractional positions:
Tb 0.3986 0.3986 0.3986
Tb 0.8041 0.3986 0.3986
Tb 0.3986 0.8041 0.3986
Tb 0.3986 0.3986 0.8041
Tb 0.5604 0.5603 0.9396
Tb 0.9397 0.9396 0.5603
Tb 0.5604 0.9396 0.5603
Tb 0.9397 0.5603 0.9396
Tb 0.9397 0.5603 0.5603
Tb 0.5604 0.9396 0.9396
Tb 0.1868 0.1868 0.8132
Tb 0.8132 0.8132 0.1868
Tb 0.1868 0.8132 0.1868
Tb 0.8132 0.1868 0.8132
Tb 0.8132 0.1868 0.1868
Tb 0.1868 0.8132 0.8132
Hg 0.1652 0.1652 0.1652
Hg 0.5044 0.1652 0.1652
Hg 0.1652 0.5043 0.1652
Hg 0.1652 0.1652 0.5043
Rh 0.6072 0.6072 0.6072
Rh 0.1784 0.6072 0.6072
Rh 0.6072 0.1784 0.6072
Rh 0.6072 0.6072 0.1784

- Magnetic moment: 0.000 μB per formula unit
- Density: 9.92 Mg/m³
- Space group: F-43m

***

(b)
Density functional theory data (PBE) for an optimized crystal structure of Tb4HgRh.

a = 6.9290 Å, b = 7.0329 Å, c = 7.3364 Å
α = 90.00°, β = 92.52°, γ = 90.00°
Fractional positions:
Tb 0.8707 0.6474 0.1827
Tb 0.6293 0.1474 0.8173
Tb 0.3254 0.3438 0.3566
Tb 0.1746 0.8438 0.6434
Tb 0.1293 0.3526 0.8173
Tb 0.3707 0.8526 0.1827
Tb 0.6746 0.6562 0.6434
Tb 0.8254 0.1562 0.3566
Hg 0.0000 0.0000 0.0000
Hg 0.5000 0.5000 0.0000
Rh 0.5000 0.0000 0.5000
Rh 0.0000 0.5000 0.5000

- Magnetic moment: 0.000 μB per formula unit
- Density: 8.73 Mg/m³
- Space group: P2_1/c

***

Quick ranking, most stable first: (a), (b).

***

(a)
Density functional theory data (PBE) for an optimized crystal structure of Tb6HgRh3.

a = 4.1152 Å, b = 11.7132 Å, c = 11.7518 Å
α = 108.76°, β = 90.00°, γ = 90.00°
Fractional positions:
Tb 0.7500 0.4610 0.5951
Tb 0.2500 0.5390 0.4049
Tb 0.7500 0.9432 0.1043
Tb 0.2500 0.0568 0.8957
Tb 0.7500 0.3864 0.0320
Tb 0.2500 0.6136 0.9680
Tb 0.7500 0.7008 0.2684
Tb 0.2500 0.2992 0.7316
Tb 0.7500 0.1377 0.4469
Tb 0.2500 0.8623 0.5531
Tb 0.7500 0.7579 0.7816
Tb 0.2500 0.2421 0.2184
Hg 0.7500 0.0722 0.6941
Hg 0.2500 0.9278 0.3059
Rh 0.7500 0.4714 0.8298
Rh 0.2500 0.5286 0.1702
Rh 0.7500 0.6910 0.5192
Rh 0.2500 0.3090 0.4808
Rh 0.7500 0.1592 0.0578
Rh 0.2500 0.8408 0.9422

- Magnetic moment: 0.000 μB per formula unit
- Density: 9.06 Mg/m³
- Space group: P2_1/m

***

(b)
Density functional theory data (PBE) for an optimized crystal structure of Tb6HgRh3.

a = 7.0393 Å, b = 8.5148 Å, c = 8.5148 Å
α = 97.69°, β = 90.00°, γ = 90.00°
Fractional positions:
Tb 0.1801 0.6885 0.6273
Tb 0.6801 0.6273 0.6885
Tb 0.2852 0.4922 0.9369
Tb 0.7852 0.9369 0.4922
Tb 0.1358 0.0729 0.9271
Tb 0.6185 0.2079 0.7921
Tb 0.1185 0.7921 0.2079
Tb 0.6358 0.9271 0.0729
Tb 0.2852 0.0631 0.5078
Tb 0.7852 0.5078 0.0631
Tb 0.1801 0.3727 0.3115
Tb 0.6801 0.3115 0.3727
Hg 0.9951 0.3243 0.6757
Hg 0.4951 0.6757 0.3243
Rh 0.4562 0.9132 0.7526
Rh 0.9562 0.7526 0.9132
Rh 0.3930 0.3872 0.6128
Rh 0.8930 0.6128 0.3872
Rh 0.9562 0.0868 0.2474
Rh 0.4562 0.2474 0.0868

- Magnetic moment: 0.000 μB per formula unit
- Density: 9.61 Mg/m³
- Space group: Cmc2_1

***

Quick ranking, most stable first: (a), (b).

***

(a)
Density functional theory data (PBE) for an optimized crystal structure of Tb6HgRh2.

a = 8.4997 Å, b = 8.4997 Å, c = 8.4997 Å
α = 104.76°, β = 110.77°, γ = 112.99°
Fractional positions:
Tb 0.5338 0.7141 0.8197
Tb 0.4662 0.2859 0.1803
Tb 0.1056 0.2859 0.8197
Tb 0.8944 0.7141 0.1803
Tb 0.8016 0.7620 0.5636
Tb 0.1984 0.2380 0.4364
Tb 0.1984 0.7620 0.9604
Tb 0.8016 0.2380 0.0396
Tb 0.6933 0.3640 0.6708
Tb 0.3067 0.6360 0.3292
Tb 0.3067 0.9775 0.6708
Tb 0.6933 0.0225 0.3292
Hg 0.0000 0.5000 0.5000
Hg 0.0000 0.0000 0.0000
Rh 0.5000 0.3682 0.8682
Rh 0.5000 0.6318 0.1318
Rh 0.6639 0.0000 0.6639
Rh 0.3361 0.0000 0.3361

- Magnetic moment: 0.000 μB per formula unit
- Density: 9.61 Mg/m³
- Space group: Immm

***

(b)
Density functional theory data (PBE) for an optimized crystal structure of Tb6HgRh2.

a = 5.0236 Å, b = 5.7003 Å, c = 9.1701 Å
α = 79.69°, β = 90.00°, γ = 116.14°
Fractional positions:
Tb 0.9637 0.9274 0.8427
Tb 0.7159 0.4318 0.1647
Tb 0.2841 0.5682 0.8353
Tb 0.6566 0.3132 0.6097
Tb 0.3434 0.6868 0.3903
Tb 0.0363 0.0726 0.1573
Hg 0.0000 0.0000 0.5000
Rh 0.6246 0.2492 0.9012
Rh 0.3754 0.7508 0.0988

- Magnetic moment: 0.000 μB per formula unit
- Density: 9.78 Mg/m³
- Space group: C2/m

***

Quick ranking, most stable first: (a), (b).

***

(a)
Density functional theory data (PBE) for an optimized crystal structure of TbThHgRh.

a = 4.0765 Å, b = 4.0793 Å, c = 7.9963 Å
α = 90.00°, β = 104.76°, γ = 120.03°
Fractional positions:
Tb 0.4975 0.1467 0.6594
Th 0.1024 0.9491 0.0671
Hg 0.9739 0.3849 0.3740
Rh 0.3041 0.5500 0.8692

- Magnetic moment: 0.000 μB per formula unit
- Density: 10.48 Mg/m³
- Space group: R3m

***

(b)
Density functional theory data (PBE) for an optimized crystal structure of TbThHgRh.

a = 5.1669 Å, b = 5.1669 Å, c = 5.1669 Å
α = 60.00°, β = 60.00°, γ = 60.00°
Fractional positions:
Rh 0.5000 0.5000 0.5000
Tb 0.2500 0.2500 0.2500
Hg 0.0000 0.0000 0.0000
Th 0.7500 0.7500 0.7500

- Magnetic moment: 0.000 μB per formula unit
- Density: 11.82 Mg/m³
- Space group: F-43m

***

Quick ranking, most stable first: (a), (b).